A geometry-optimized V3AgPt structure, computed with GGA-PBE.

Computed properties:
DOS(E_F) (states/eV/atom): 1.46
DFT formation energy (eV/atom): 1.036
Distance to the lowest polymorph of the same formula (meV per atom): 0
Size of the total moment (μB/f.u.): 7.1
Total energy (eV/atom): -6.213

Lattice parameters (Å, degrees): 4.7855 4.7855 4.7855 90.00 90.00 90.00
Space group Pm-3m (No. 221)
Unique sites:
V 0.0000 0.0000 0.5000 x3
Ag 0.5000 0.5000 0.5000 x1
Pt 0.0000 0.0000 0.0000 x1

A geometry-optimized VAg2Pt structure, computed with GGA-PBE.

Computed properties:
DOS(E_F) (states/eV/atom): 1.03
DFT formation energy (eV/atom): 0.535
Distance to the lowest polymorph of the same formula (meV per atom): 266
Size of the total moment (μB/f.u.): 2.9
Total energy (eV/atom): -4.681

Lattice parameters (Å, degrees): 7.4738 7.4738 5.2819 90.00 90.00 90.00
Space group I-42d (No. 122)
Unique sites:
V 0.0000 0.0000 0.0000 x4
Ag 0.2483 0.2500 0.6250 x8
Pt 0.0000 0.0000 0.5000 x4

A geometry-optimized VAg3Pt structure, computed with GGA-PBE.

Computed properties:
DOS(E_F) (states/eV/atom): 1.20
DFT formation energy (eV/atom): 1.475
Distance to the lowest polymorph of the same formula (meV per atom): 342
Size of the total moment (μB/f.u.): 3.4
Total energy (eV/atom): -3.268

Lattice parameters (Å, degrees): 4.8285 4.8285 4.8285 90.00 90.00 90.00
Space group Pm-3m (No. 221)
Unique sites:
V 0.0000 0.0000 0.0000 x1
Ag 0.0000 0.0000 0.5000 x3
Pt 0.5000 0.5000 0.5000 x1

A geometry-optimized Ag3PtW structure, computed with GGA-PBE.

Computed properties:
DOS(E_F) (states/eV/atom): 1.45
DFT formation energy (eV/atom): 2.082
Distance to the lowest polymorph of the same formula (meV per atom): 326
Size of the total moment (μB/f.u.): 0.0
Total energy (eV/atom): -3.428

Lattice parameters (Å, degrees): 4.9884 4.9884 4.9884 90.00 90.00 90.00
Space group Pm-3m (No. 221)
Unique sites:
Ag 0.0000 0.0000 0.5000 x3
Pt 0.5000 0.5000 0.5000 x1
W 0.0000 0.0000 0.0000 x1